[1]
Compound: Cd2InAu
Source: Alexandria via LeMat-Bulk
Functional: PBE-GGA
Structure: optimized geometry

Summary:
- Energy of formation: -55 meV/atom
- Total magnetic moment: 0.00 μB/atom

```
Cd2InAu
1.0
3.280 0.000 0.000
0.000 3.280 0.000
0.000 0.000 8.339
Cd In Au
2 1 1
direct
0.000 0.000 0.000
0.500 0.500 0.263
0.000 0.000 0.548
0.500 0.500 0.778
```

***

[2]
Compound: Cd3InAu3
Source: Alexandria via LeMat-Bulk
Functional: PBE-GGA
Structure: optimized geometry

Summary:
- Energy of formation: -128 meV/atom
- Energy above the most stable polymorph in this dataset: 13 meV per atom
- Total magnetic moment: 0.00 μB/atom

```
Cd3InAu3
1.0
4.770 2.754 1.938
-4.770 2.754 1.938
0.000 -5.508 1.938
Cd In Au
3 1 3
direct
0.000 0.500 0.500
0.500 0.000 0.500
0.500 0.500 0.000
0.001 0.001 0.001
0.000 0.000 0.500
0.000 0.500 0.000
0.500 0.000 0.000
```

***

[3]
Compound: Cd2InAu
Source: Alexandria via LeMat-Bulk
Functional: PBE-GGA
Structure: optimized geometry

Summary:
- Energy of formation: -50 meV/atom
- Total magnetic moment: 0.00 μB/atom

```
Cd2InAu
1.0
-1.669 2.358 5.809
1.669 -2.358 5.809
1.669 2.358 -5.809
Cd In Au
2 1 1
direct
0.213 0.213 0.000
0.787 0.787 0.000
0.500 0.000 0.500
0.000 0.500 0.500
```

***

Look up the energy of formation of the first one.
-55 meV/atom

***

What is the total magnetic moment in the third record?
0.00 μB/atom